w) Computed, not measured: a relaxed structure of SrCr3As at the PBE level of DFT.

a = 4.980 Å, b = 4.980 Å, c = 4.980 Å
α = 90.00°, β = 90.00°, γ = 90.00°
Fractional positions:
Cr (0.500, 0.000, 0.000)
Cr (0.000, 0.000, 0.500)
Cr (0.000, 0.500, 0.000)
As (0.000, 0.000, 0.000)
Sr (0.500, 0.500, 0.500)

Calculated values
* M_tot: 12.56 μB per cell
* density of states at the Fermi level: 1.192 states/eV/atom
* mass density: 4.28 Mg/m³
* calculated volume: 24.7 Å³/atom
* space-group type: Pm-3m, No. 221



x) Computed, not measured: a relaxed structure of SrCr3As at the PBE level of DFT.

a = 5.448 Å, b = 5.448 Å, c = 5.448 Å
α = 90.00°, β = 90.00°, γ = 90.00°
Fractional positions:
Sr (0.000, 0.000, 0.000)
Cr (0.000, 0.000, 0.500)
Cr (0.500, 0.000, 0.000)
Cr (0.000, 0.500, 0.000)
As (0.500, 0.500, 0.500)

Calculated values
* M_tot: 14.36 μB per cell
* density of states at the Fermi level: 0.968 states/eV/atom
* mass density: 3.27 Mg/m³
* calculated volume: 32.3 Å³/atom
* space-group type: Pm-3m, No. 221



Best to worst by energy: w), x).



w) Computed, not measured: a relaxed structure of CrTcAs2 at the PBE level of DFT.

a = 4.329 Å, b = 4.329 Å, c = 3.054 Å
α = 90.00°, β = 90.00°, γ = 90.00°
Fractional positions:
As (0.000, 0.000, 0.000)
As (0.500, 0.500, 0.000)
Cr (0.500, 0.000, 0.500)
Tc (0.000, 0.500, 0.500)

Calculated values
* M_tot: 1.54 μB per cell
* density of states at the Fermi level: 0.869 states/eV/atom
* mass density: 8.70 Mg/m³
* calculated volume: 14.3 Å³/atom
* space-group type: P4/mmm, No. 123



x) Computed, not measured: a relaxed structure of CrTcAs2 at the PBE level of DFT.

a = 4.293 Å, b = 4.293 Å, c = 4.293 Å
α = 60.00°, β = 60.00°, γ = 60.00°
Fractional positions:
As (0.250, 0.250, 0.250)
As (0.750, 0.750, 0.750)
Cr (0.000, 0.000, 0.000)
Tc (0.500, 0.500, 0.500)

Calculated values
* M_tot: 0.00 μB per cell
* density of states at the Fermi level: 0.951 states/eV/atom
* mass density: 8.90 Mg/m³
* calculated volume: 14.0 Å³/atom
* space-group type: Fm-3m, No. 225



y) Computed, not measured: a relaxed structure of CrTcAs2 at the PBE level of DFT.

a = 4.634 Å, b = 4.634 Å, c = 4.479 Å
α = 76.25°, β = 76.25°, γ = 39.29°
Fractional positions:
Tc (0.262, 0.262, 0.181)
Cr (0.488, 0.488, 0.579)
As (0.755, 0.755, 0.679)
As (0.995, 0.995, 0.062)

Calculated values
* M_tot: 1.71 μB per cell
* density of states at the Fermi level: 0.697 states/eV/atom
* mass density: 8.45 Mg/m³
* calculated volume: 14.7 Å³/atom
* space-group type: Cm, No. 8



Best to worst by energy: y), w), x).



w) Computed, not measured: a relaxed structure of CrTcAs2 at the PBE level of DFT.

a = 7.727 Å, b = 7.727 Å, c = 7.727 Å
α = 22.36°, β = 22.36°, γ = 22.36°
Fractional positions:
Cr (0.250, 0.250, 0.250)
As (0.503, 0.503, 0.503)
As (0.997, 0.997, 0.997)
Tc (0.750, 0.750, 0.750)

Calculated values
* M_tot: 1.06 μB per cell
* density of states at the Fermi level: 1.277 states/eV/atom
* mass density: 8.50 Mg/m³
* calculated volume: 14.6 Å³/atom
* space-group type: R-3m, No. 166



x) Computed, not measured: a relaxed structure of CrTcAs2 at the PBE level of DFT.

a = 4.056 Å, b = 3.148 Å, c = 5.075 Å
α = 89.42°, β = 90.00°, γ = 90.00°
Fractional positions:
Cr (0.500, 0.250, 0.250)
Tc (0.500, 0.750, 0.750)
As (0.000, 0.585, 0.489)
As (0.000, 0.915, 0.011)

Calculated values
* M_tot: 2.66 μB per cell
* density of states at the Fermi level: 0.790 states/eV/atom
* mass density: 7.68 Mg/m³
* calculated volume: 16.2 Å³/atom
* space-group type: P2/m, No. 10



Best to worst by energy: w), x).



w) Computed, not measured: a relaxed structure of CrTcAs2 at the PBE level of DFT.

a = 4.204 Å, b = 4.204 Å, c = 5.206 Å
α = 80.95°, β = 80.95°, γ = 44.17°
Fractional positions:
Cr (0.750, 0.750, 0.750)
As (0.512, 0.512, 0.486)
As (0.988, 0.988, 0.014)
Tc (0.250, 0.250, 0.250)

Calculated values
* M_tot: 3.19 μB per cell
* density of states at the Fermi level: 0.776 states/eV/atom
* mass density: 7.88 Mg/m³
* calculated volume: 15.8 Å³/atom
* space-group type: C2/m, No. 12



x) Computed, not measured: a relaxed structure of CrTcAs2 at the PBE level of DFT.

a = 10.312 Å, b = 10.312 Å, c = 10.312 Å
α = 16.02°, β = 16.02°, γ = 16.02°
Fractional positions:
Tc (0.760, 0.760, 0.760)
As (0.221, 0.221, 0.221)
As (0.027, 0.027, 0.027)
Cr (0.492, 0.492, 0.492)

Calculated values
* M_tot: 0.72 μB per cell
* density of states at the Fermi level: 0.930 states/eV/atom
* mass density: 6.84 Mg/m³
* calculated volume: 18.2 Å³/atom
* space-group type: R3m, No. 160



Best to worst by energy: w), x).



w) Computed, not measured: a relaxed structure of CrTcAs3 at the PBE level of DFT.

a = 3.218 Å, b = 6.435 Å, c = 8.460 Å
α = 111.17°, β = 90.00°, γ = 90.00°
Fractional positions:
As (0.750, 0.566, 0.367)
As (0.750, 0.198, 0.993)
As (0.250, 0.802, 0.007)
As (0.750, 0.072, 0.396)
As (0.250, 0.928, 0.604)
As (0.250, 0.434, 0.633)
Tc (0.750, 0.756, 0.763)
Tc (0.250, 0.244, 0.237)
Cr (0.250, 0.778, 0.276)
Cr (0.750, 0.222, 0.724)

Calculated values
* M_tot: 0.00 μB per cell
* density of states at the Fermi level: 0.353 states/eV/atom
* mass density: 7.62 Mg/m³
* calculated volume: 16.3 Å³/atom
* space-group type: P2_1/m, No. 11



x) Computed, not measured: a relaxed structure of CrTcAs3 at the PBE level of DFT.

a = 4.630 Å, b = 4.630 Å, c = 4.630 Å
α = 90.00°, β = 90.00°, γ = 90.00°
Fractional positions:
As (0.500, 0.000, 0.000)
As (0.000, 0.000, 0.500)
As (0.000, 0.500, 0.000)
Tc (0.500, 0.500, 0.500)
Cr (0.000, 0.000, 0.000)

Calculated values
* M_tot: 3.98 μB per cell
* density of states at the Fermi level: 1.227 states/eV/atom
* mass density: 6.27 Mg/m³
* calculated volume: 19.8 Å³/atom
* space-group type: Pm-3m, No. 221



Best to worst by energy: w), x).



w) Computed, not measured: a relaxed structure of CrTcAs at the PBE level of DFT.

a = 4.104 Å, b = 4.104 Å, c = 2.833 Å
α = 90.00°, β = 90.00°, γ = 120.00°
Fractional positions:
Cr (0.333, 0.667, 0.167)
Tc (0.667, 0.333, 0.666)
As (0.000, 0.000, 0.167)

Calculated values
* M_tot: 0.00 μB per cell
* density of states at the Fermi level: 0.587 states/eV/atom
* mass density: 9.04 Mg/m³
* calculated volume: 13.8 Å³/atom
* space-group type: P-6m2, No. 187



x) Computed, not measured: a relaxed structure of CrTcAs at the PBE level of DFT.

a = 4.423 Å, b = 4.423 Å, c = 4.423 Å
α = 141.99°, β = 127.51°, γ = 66.62°
Fractional positions:
Tc (0.665, 0.665, 0.000)
As (0.001, 0.001, 0.000)
Cr (0.334, 0.334, 0.000)

Calculated values
* M_tot: 0.00 μB per cell
* density of states at the Fermi level: 0.782 states/eV/atom
* mass density: 8.97 Mg/m³
* calculated volume: 13.9 Å³/atom
* space-group type: Imm2, No. 44



y) Computed, not measured: a relaxed structure of CrTcAs at the PBE level of DFT.

a = 4.020 Å, b = 4.020 Å, c = 4.020 Å
α = 60.00°, β = 60.00°, γ = 60.00°
Fractional positions:
Tc (0.000, 0.000, 0.000)
Cr (0.750, 0.750, 0.750)
As (0.500, 0.500, 0.500)

Calculated values
* M_tot: 0.35 μB per cell
* density of states at the Fermi level: 0.527 states/eV/atom
* mass density: 8.13 Mg/m³
* calculated volume: 15.3 Å³/atom
* space-group type: F-43m, No. 216



z) Computed, not measured: a relaxed structure of CrTcAs at the PBE level of DFT.

a = 5.059 Å, b = 5.059 Å, c = 2.965 Å
α = 72.96°, β = 72.95°, γ = 34.08°
Fractional positions:
Cr (0.343, 0.343, 0.657)
As (0.990, 0.990, 0.010)
Tc (0.667, 0.667, 0.333)

Calculated values
* M_tot: 0.00 μB per cell
* density of states at the Fermi level: 0.765 states/eV/atom
* mass density: 9.23 Mg/m³
* calculated volume: 13.5 Å³/atom
* space-group type: I4mm, No. 107



Best to worst by energy: y), z), w), x).



w) Computed, not measured: a relaxed structure of CrTcAs at the PBE level of DFT.

a = 2.829 Å, b = 2.829 Å, c = 6.138 Å
α = 90.00°, β = 90.00°, γ = 120.00°
Fractional positions:
Cr (0.667, 0.333, 0.338)
Tc (0.333, 0.667, 0.648)
As (0.000, 0.000, 0.013)

Calculated values
* M_tot: 0.00 μB per cell
* density of states at the Fermi level: 0.804 states/eV/atom
* mass density: 8.78 Mg/m³
* calculated volume: 14.2 Å³/atom
* space-group type: P3m1, No. 156



x) Computed, not measured: a relaxed structure of CrTcAs at the PBE level of DFT.

a = 3.185 Å, b = 3.185 Å, c = 8.540 Å
α = 90.00°, β = 90.00°, γ = 90.00°
Fractional positions:
Cr (0.500, 0.000, 0.735)
Cr (0.000, 0.500, 0.265)
As (0.000, 0.500, 0.616)
As (0.500, 0.000, 0.384)
Tc (0.000, 0.500, 0.932)
Tc (0.500, 0.000, 0.068)

Calculated values
* M_tot: 1.03 μB per cell
* density of states at the Fermi level: 1.114 states/eV/atom
* mass density: 8.62 Mg/m³
* calculated volume: 14.4 Å³/atom
* space-group type: P4/nmm, No. 129



Best to worst by energy: x), w).



w) Computed, not measured: a relaxed structure of Cr2TeAs at the PBE level of DFT.

a = 6.653 Å, b = 6.653 Å, c = 6.653 Å
α = 33.42°, β = 33.42°, γ = 33.42°
Fractional positions:
Cr (0.013, 0.013, 0.013)
Cr (0.487, 0.487, 0.487)
As (0.750, 0.750, 0.750)
Te (0.250, 0.250, 0.250)

Calculated values
* M_tot: 6.87 μB per cell
* density of states at the Fermi level: 0.500 states/eV/atom
* mass density: 6.40 Mg/m³
* calculated volume: 19.9 Å³/atom
* space-group type: R-3m, No. 166



x) Computed, not measured: a relaxed structure of Cr2TeAs at the PBE level of DFT.

a = 9.894 Å, b = 9.894 Å, c = 9.894 Å
α = 17.84°, β = 17.84°, γ = 17.84°
Fractional positions:
As (0.721, 0.721, 0.721)
Cr (0.990, 0.990, 0.990)
Cr (0.265, 0.265, 0.265)
Te (0.525, 0.525, 0.525)

Calculated values
* M_tot: 0.72 μB per cell
* density of states at the Fermi level: 0.784 states/eV/atom
* mass density: 6.42 Mg/m³
* calculated volume: 19.8 Å³/atom
* space-group type: R3m, No. 160



Best to worst by energy: w), x).